The following is a GGA-PBE calculation of an optimized crystal structure of Pr6Nd8Er, from Alexandria via LeMat-Bulk.

```
Pr6Nd8Er
1.0
8.0252 0.1110 3.8595
2.4722 7.6358 3.8595
0.1504 0.1110 8.9038
Pr Nd Er
6 8 1
Direct
0.9025 0.4608 0.7617
0.2383 0.0975 0.5392
0.5392 0.2383 0.0975
0.4608 0.7617 0.9025
0.7617 0.9025 0.4608
0.0975 0.5392 0.2383
0.1135 0.7162 0.7520
0.2480 0.8865 0.2838
0.2838 0.2480 0.8865
0.5777 0.5777 0.5777
0.4223 0.4223 0.4223
0.7162 0.7520 0.1135
0.7520 0.1135 0.7162
0.8865 0.2838 0.2480
0.0000 0.0000 0.0000
```

## Properties
The calculation puts the energy above the most stable polymorph in this dataset at 0.0 meV per atom. The value obtained for the energy of formation from the pure elements is 105.6 meV per atom. For the total energy, the calculation gives -4.653 eV per atom.